# TbDy2Hg

A relaxed structure of TbDy2Hg (PBE, the Alexandria database).

Cell: 6.712 6.921 10.181 Å, 90.00 90.00 90.00°
Positions (direct):
1 Tb 0.612 0.490 0.250
2 Tb 0.888 0.990 0.250
3 Tb 0.388 0.510 0.750
4 Tb 0.112 0.010 0.750
5 Dy 0.187 0.696 0.040
6 Dy 0.313 0.196 0.460
7 Dy 0.813 0.304 0.540
8 Dy 0.687 0.804 0.960
9 Dy 0.813 0.304 0.960
10 Dy 0.687 0.804 0.540
11 Dy 0.187 0.696 0.460
12 Dy 0.313 0.196 0.040
13 Hg 0.058 0.408 0.250
14 Hg 0.442 0.908 0.250
15 Hg 0.942 0.592 0.750
16 Hg 0.558 0.092 0.750

Summary:
The value obtained for the total moment is 0.00 Bohr magnetons per cell. Its formation energy is -207.3 meV/atom. As for the density of states at the Fermi level: 16.73 states/eV per cell. Its energy above the most stable polymorph in this dataset is 8 kJ/mol of formula units. As for the space group: Pnma (62).